Record 1
An optimized crystal structure of CsRu2PbO8, computed with PBE-GGA.

Unit cell a=5.5837 b=5.5837 c=9.1761 alpha=84.10 beta=84.10 gamma=68.31
Last column: nearest neighbours and their distance in Å.
Element x y z (fractional)
Pb 0.0000 0.0000 0.0000  6 O 2.46-2.52
O 0.7395 0.2656 0.7928  1 Ru 1.79
Ru 0.3970 0.3970 0.7829  4 O 1.75-1.79
O 0.6852 0.6852 0.3793  1 Ru 1.75
O 0.2673 0.2673 0.9438  1 Ru 1.78
O 0.3148 0.3148 0.6207  1 Ru 1.75
Cs 0.0000 0.0000 0.5000  6 O 3.15-3.24
O 0.7327 0.7327 0.0562  1 Ru 1.78
O 0.7344 0.2605 0.2072  1 Ru 1.79
O 0.2605 0.7344 0.2072  1 Ru 1.79
Ru 0.6030 0.6030 0.2171  4 O 1.75-1.79
O 0.2656 0.7395 0.7928  1 Ru 1.79

Volume ... 21.981 Å³ per atom
SG ... No. 12
Formation energy (no corrections) ... -1.009 eV/atom
Raw total energy ... -74.88 eV per formula unit



Record 2
An optimized crystal structure of CuMo2IBr, computed with PBE-GGA.

Unit cell a=4.8127 b=6.8896 c=4.8127 alpha=90.00 beta=90.00 gamma=90.00
Last column: nearest neighbours and their distance in Å.
Element x y z (fractional)
Mo 0.5000 0.0000 0.0000  2 Br 2.41
Br 0.0000 0.0000 0.0000  4 Mo 2.41
Cu 0.5000 0.5000 0.5000  4 I 3.40
I 0.0000 0.5000 0.0000  4 Cu 3.40, 2 Br 3.44
Mo 0.0000 0.0000 0.5000  2 Br 2.41

Volume ... 31.916 Å³ per atom
SG ... No. 123
Formation energy (no corrections) ... 1.900 eV/atom
Raw total energy ... -19.48 eV per formula unit



Results for density of states at the Fermi level: 6.68, 2.51 (in states/eV per cell, following the order of the records).